A relaxed structure of PmGaAg. Source: the Alexandria database, functional PBE-GGA.

Unit cell a=3.6544 b=4.6488 c=4.6488 alpha=120.00 beta=90.00 gamma=90.00
Fractional coordinates of all 3 atoms:
Ga (0.1666, 0.0000, 0.0000)
Ag (0.1668, 0.6667, 0.3333)
Pm (0.6666, 0.3333, 0.6667)

Output
DFT formation energy = -0.471 eV/atom
Total magnetic moment = 0.001 μB per formula unit
Excess energy over the best structure of this formula in the dataset = 0.0 kJ per mole of atoms
Space-group type = P-6m2